This record from the Alexandria database describes a relaxed structure of Ca2LaSe. The functional is PBE.

a = 3.8119 Å, b = 5.7314 Å, c = 12.4051 Å
α = 90.00°, β = 90.00°, γ = 90.00°
With the nearest neighbours (Å) after each atom.
Space group Imm2 (No. 44)
One atom of each set of equivalent atoms:
Ca  0.0000  0.0000  0.0000 (multiplicity 2)  2 Se 2.96
Ca  0.0000  0.5000  0.1837 (multiplicity 2)  4 Se 3.44, 4 Ca 3.66-3.81, 2 La 3.71
La  0.0000  0.0000  0.3737 (multiplicity 2)  2 Se 3.04
Se  0.0000  0.5000  0.6823 (multiplicity 2)  2 Ca 2.96, 2 La 3.04

Output
calculated total energy = -3.780 eV per atom
volume = 33.88 Å³ per atom
ΔE_f (raw) = -676 meV/atom
total magnetic moment = 0.6 Bohr magnetons per cell

This record from the Alexandria database describes a relaxed structure of LaPu2TeO8. The functional is PBE.

a = 7.2139 Å, b = 7.3455 Å, c = 7.0821 Å
α = 90.00°, β = 90.00°, γ = 90.00°
With the nearest neighbours (Å) after each atom.
Space group Cmmm (No. 65)
One atom of each set of equivalent atoms:
La  0.0000  0.0000  0.0000 (multiplicity 2)  6 O 2.40
Pu  0.0000  0.5000  0.2540 (multiplicity 4)  6 O 2.18-2.24
Te  0.0000  0.0000  0.5000 (multiplicity 2)  6 O 2.16-2.26
O  0.0000  0.3080  0.5000 (multiplicity 4)  2 Pu 2.24, 1 Te 2.26
O  0.0000  0.3268  0.0000 (multiplicity 4)  2 Pu 2.20, 1 La 2.40
O  0.1988  0.0000  0.2719 (multiplicity 8)  1 Te 2.16, 1 Pu 2.18, 1 La 2.40

Output
calculated total energy = -8.871 eV per atom
volume = 15.64 Å³ per atom
ΔE_f (raw) = -2504 meV/atom
total magnetic moment = 14.0 Bohr magnetons per cell

This record from the Alexandria database describes a relaxed structure of BeSnAuC2. The functional is PBE.

a = 4.1355 Å, b = 4.1355 Å, c = 5.6048 Å
α = 90.00°, β = 90.00°, γ = 90.00°
With the nearest neighbours (Å) after each atom.
Space group P4/mmm (No. 123)
One atom of each set of equivalent atoms:
Be  0.0000  0.0000  0.0000 (multiplicity 1)  4 Au 2.92
Sn  0.5000  0.5000  0.5000 (multiplicity 1)  4 C 2.07
Au  0.5000  0.5000  0.0000 (multiplicity 1)  2 Sn 2.80, 4 Be 2.92
C  0.0000  0.5000  0.5000 (multiplicity 2)  2 Sn 2.07

Output
calculated total energy = -3.433 eV per atom
volume = 19.17 Å³ per atom
ΔE_f = 2.4574 eV/atom
total magnetic moment = 1.0 Bohr magnetons per cell

This record from the Alexandria database describes a relaxed structure of Mn2V2Tc. The functional is PBE.

a = 6.7640 Å, b = 6.7640 Å, c = 2.8039 Å
α = 90.00°, β = 90.00°, γ = 90.00°
With the nearest neighbours (Å) after each atom.
Space group P4/mbm (No. 127)
One atom of each set of equivalent atoms:
Mn  0.1379  0.3621  0.0000 (multiplicity 4)  6 V 2.37-2.48, 2 Tc 2.62, 1 Mn 2.64
V  0.1627  0.6627  0.5000 (multiplicity 4)  6 Mn 2.37-2.48
Tc  0.0000  0.0000  0.0000 (multiplicity 2)  4 Mn 2.62, 2 Tc 2.80, 8 V 2.90

Output
calculated total energy = -9.259 eV per atom
volume = 12.83 Å³ per atom
ΔE_f = 0.1294 eV/atom
total magnetic moment = 2.0 Bohr magnetons per cell

This record from the Alexandria database describes a relaxed structure of CoSe2BrN. The functional is PBE.

a = 5.1272 Å, b = 5.1272 Å, c = 3.3803 Å
α = 90.00°, β = 90.00°, γ = 90.00°
With the nearest neighbours (Å) after each atom.
Space group P4/mmm (No. 123)
One atom of each set of equivalent atoms:
Co  0.0000  0.0000  0.0000 (multiplicity 1)  2 N 1.69
Se  0.0000  0.5000  0.0000 (multiplicity 2)  2 Co 2.56
Br  0.5000  0.5000  0.5000 (multiplicity 1)  8 Se 3.07, 2 Br 3.38
N  0.0000  0.0000  0.5000 (multiplicity 1)  2 Co 1.69

Output
calculated total energy = -4.239 eV per atom
volume = 17.77 Å³ per atom
ΔE_f (raw) = 575 meV/atom
relative energy among the computed polymorphs = 0.000 eV/atom
total magnetic moment = 0.0 Bohr magnetons per cell

This record from the Alexandria database describes a relaxed structure of UMnSi2Ni. The functional is PBE.

a = 3.9235 Å, b = 3.9235 Å, c = 9.6787 Å
α = 90.00°, β = 90.00°, γ = 90.00°
With the nearest neighbours (Å) after each atom.
Space group I-4m2 (No. 119)
One atom of each set of equivalent atoms:
U  0.0000  0.0000  0.0000 (multiplicity 2)  8 Si 3.02, 4 Mn 3.11, 4 Ni 3.11
Mn  0.0000  0.5000  0.7500 (multiplicity 2)  4 Si 2.31
Si  0.0000  0.0000  0.3757 (multiplicity 4)  2 Mn 2.31, 2 Ni 2.31, 1 Si 2.41
Ni  0.0000  0.5000  0.2500 (multiplicity 2)  4 Si 2.31

Output
calculated total energy = -7.894 eV per atom
volume = 14.90 Å³ per atom
ΔE_f (raw) = -477 meV/atom
total magnetic moment = 3.0 Bohr magnetons per cell

This record from the Alexandria database describes a relaxed structure of YAl3. The functional is PBE.

a = 3.1152 Å, b = 3.1152 Å, c = 29.2397 Å
α = 90.00°, β = 90.00°, γ = 120.00°
With the nearest neighbours (Å) after each atom.
Space group R-3m (No. 166, hexagonal axes)
One atom of each set of equivalent atoms:
Y  0.0000  0.0000  0.0000 (multiplicity 3)  6 Y 3.12, 6 Al 3.20
Al  0.0000  0.0000  0.2429 (multiplicity 6)  9 Al 2.86-3.12, 3 Y 3.20
Al  0.0000  0.0000  0.5000 (multiplicity 3)  12 Al 2.86-3.12

Output
calculated total energy = -4.406 eV per atom
volume = 20.48 Å³ per atom
ΔE_f = 0.0173 eV/atom
total magnetic moment = 0.0 Bohr magnetons per cell

This record from the Alexandria database describes a relaxed structure of Al2CoSb. The functional is PBE.

a = 6.4496 Å, b = 6.4496 Å, c = 6.4496 Å
α = 90.00°, β = 90.00°, γ = 90.00°
With the nearest neighbours (Å) after each atom.
Space group F-43m (No. 216)
One atom of each set of equivalent atoms:
Al  0.0000  0.0000  0.0000 (multiplicity 4)  4 Sb 2.79, 4 Al 2.79
Al  0.2500  0.2500  0.2500 (multiplicity 4)  4 Co 2.79, 4 Al 2.79
Co  0.0000  0.0000  0.5000 (multiplicity 4)  4 Sb 2.79, 4 Al 2.79
Sb  0.2500  0.2500  0.7500 (multiplicity 4)  4 Co 2.79, 4 Al 2.79

Output
calculated total energy = -4.413 eV per atom
volume = 16.77 Å³ per atom
ΔE_f (raw) = 265 meV/atom
total magnetic moment = 0.0 Bohr magnetons per cell